Arrangement one

6
Lattice="3.081 0.000 0.000 -1.541 2.668 0.000 0.000 0.000 8.246" Properties=species:S:1:pos:R:3 comment="CaBeN | Alexandria | PBE | optimized geometry" m_tot_mub_per_atom=0.00 pbc="T T T"
Ca 0.000 0.000 0.000
Ca 0.000 0.000 4.123
Be 0.000 1.779 2.062
Be 1.541 0.889 6.185
N 0.000 1.779 6.185
N 1.541 0.889 2.062

=====

Arrangement two

12
Lattice="5.416 0.000 0.000 0.000 3.769 0.000 0.000 0.000 8.253" Properties=species:S:1:pos:R:3 comment="CaBeN | Alexandria | PBE | optimized geometry" m_tot_mub_per_atom=0.00 pbc="T T T"
Ca 0.885 0.942 0.986
Ca 1.823 2.827 5.112
Ca 3.593 0.942 3.141
Ca 4.531 2.827 7.267
Be 0.429 2.827 2.768
Be 2.279 0.942 6.894
Be 3.137 2.827 1.358
Be 4.987 0.942 5.485
N 0.675 0.942 6.665
N 2.033 2.827 2.539
N 3.383 0.942 5.714
N 4.741 2.827 1.588

=====

Most favorable structure: arrangement two. The second most favorable one is 22.8 kJ/mol of atoms above it.